Material: LaPr7Ho3
Method: DFT, PBE
State: relaxed

Cell lengths 7.2998, 7.2998, 8.7270 Å; angles 90.00, 90.00, 120.00 degrees
Space group P3m1 (No. 156)
Inequivalent atoms, fractional coordinates:
La  0.0000  0.0000  0.0000 (multiplicity 1)
Pr  0.0005  0.5003  0.0207 (multiplicity 3)
Pr  0.1670  0.3340  0.6648 (multiplicity 3)
Pr  0.6667  0.3333  0.6844 (multiplicity 1)
Ho  0.3336  0.1668  0.3432 (multiplicity 3)

Values from the calculation:
Magnetization: 0.00 μB/f.u.
Total energy: -4.55 eV per atom
D(E_F): 1.55 states/eV per atom
Excess energy over the best structure of this formula in the dataset: 0 meV per atom